Record 1
First-principles (PBE) data for a geometry-optimized Tb4In3Ag structure, as listed in Alexandria via LeMat-Bulk.

The structure in POSCAR format:
```
Tb4In3Ag
1.0
3.787 0.000 0.000
0.000 4.812 0.000
0.000 0.000 11.919
Tb In Ag
4 3 1
Cartesian
1.894 2.406 4.019
0.000 2.406 10.190
0.000 0.000 1.783
1.894 0.000 7.842
0.000 2.406 6.899
0.000 0.000 5.011
1.894 0.000 11.025
1.894 2.406 0.909
```

Summary:
**Space group**: Pmm2, No. 25
**ρ**: 8.3 Mg/m³
**Magnetization**: 0.0 μB per cell


Record 2
First-principles (PBE) data for a geometry-optimized Tb8InAg2 structure, as listed in Alexandria via LeMat-Bulk.

The structure in POSCAR format:
```
Tb8InAg2
1.0
-1.966 1.582 4.833
-1.343 -8.282 0.538
7.929 2.702 0.714
Tb In Ag
8 1 2
Cartesian
2.380 -4.270 5.319
4.525 -1.730 5.360
3.372 -2.882 2.222
-0.209 -4.983 2.995
4.829 0.985 3.091
1.248 -1.115 3.864
0.095 -2.268 0.726
2.240 0.273 0.767
-0.983 0.791 2.417
5.103 -0.646 0.660
1.483 -4.934 0.592
```

Summary:
**Space group**: C2/m, No. 12
**ρ**: 8.2 Mg/m³
**Magnetization**: 0.0 μB per cell


Record 3
First-principles (PBE) data for a geometry-optimized Tb3In2Ag structure, as listed in Alexandria via LeMat-Bulk.

The structure in POSCAR format:
```
Tb3In2Ag
1.0
3.582 0.000 0.000
0.000 3.582 0.000
0.000 0.000 12.160
Tb In Ag
3 2 1
Cartesian
0.000 0.000 0.000
0.000 0.000 7.956
0.000 0.000 4.204
1.791 1.791 10.040
1.791 1.791 2.120
1.791 1.791 6.080
```

Summary:
**Space group**: P4/mmm, No. 123
**ρ**: 8.7 Mg/m³
**Magnetization**: 0.0 μB per cell


| no. | DFT formation energy (kJ per mole of atoms) | DOS at the Fermi energy (states/eV per cell) |
| --- | --- | --- |
| 1 | -37.50 | 7.9 |
| 2 | -6.85 | 15.8 |
| 3 | -41.33 | 3.1 |